Record 1
Here is a geometry-optimized Ca2NiRu structure from Alexandria. Energies are from PBE.

```
data_Ca2NiRu
_space_group_name_H-M_alt 'P 1'
_space_group_IT_number 1
_cell_length_a 8.848
_cell_length_b 8.848
_cell_length_c 8.848
_cell_angle_alpha 21.46
_cell_angle_beta 21.46
_cell_angle_gamma 21.46
loop_
_space_group_symop_operation_xyz
'x,y,z'
loop_
_atom_site_label
_atom_site_fract_x
_atom_site_fract_y
_atom_site_fract_z
_atom_site_occupancy
Ca1 0.250 0.250 0.250 1
Ca2 0.750 0.750 0.750 1
Ni1 0.500 0.500 0.500 1
Ru1 0.000 0.000 0.000 1
```

Results
Fermi-level density of states in states/eV/atom: 0.6283
Calculated total energy in eV per atom: -4.295
Calculated formation energy in eV per atom: 0.47
Crystal system: trigonal

Record 2
Here is a geometry-optimized Sm2YAs3 structure from Alexandria. Energies are from PBE.

```
data_Sm2YAs3
_space_group_name_H-M_alt 'P 1'
_space_group_IT_number 1
_cell_length_a 9.359
_cell_length_b 9.359
_cell_length_c 9.359
_cell_angle_alpha 154.16
_cell_angle_beta 154.16
_cell_angle_gamma 36.87
loop_
_space_group_symop_operation_xyz
'x,y,z'
loop_
_atom_site_label
_atom_site_fract_x
_atom_site_fract_y
_atom_site_fract_z
_atom_site_occupancy
Sm1 0.166 0.166 0.000 1
Sm2 0.834 0.834 0.000 1
Y1 0.500 0.500 0.000 1
As1 0.000 0.000 0.000 1
As2 0.335 0.335 0.000 1
As3 0.665 0.665 0.000 1
```

Results
Fermi-level density of states in states/eV/atom: 0.1540
Calculated total energy in eV per atom: -6.510
Calculated formation energy in eV per atom: -1.53
Crystal system: tetragonal

Record 3
Here is a geometry-optimized LaSiIr2 structure from Alexandria. Energies are from PBE.

```
data_LaSiIr2
_space_group_name_H-M_alt 'P 1'
_space_group_IT_number 1
_cell_length_a 9.359
_cell_length_b 9.359
_cell_length_c 9.359
_cell_angle_alpha 18.63
_cell_angle_beta 18.63
_cell_angle_gamma 18.63
loop_
_space_group_symop_operation_xyz
'x,y,z'
loop_
_atom_site_label
_atom_site_fract_x
_atom_site_fract_y
_atom_site_fract_z
_atom_site_occupancy
La1 0.000 0.000 0.000 1
Si1 0.769 0.769 0.769 1
Ir1 0.244 0.244 0.244 1
Ir2 0.495 0.495 0.495 1
```

Results
Formation energy without anion corrections in eV/atom: 0.143
Fermi-level density of states in states/eV/atom: 0.9879
Calculated total energy in eV per atom: -6.875
Crystal system: trigonal

Record 4
Here is a geometry-optimized BaLiCo2 structure from Alexandria. Energies are from PBE.

```
data_BaLiCo2
_space_group_name_H-M_alt 'P 1'
_space_group_IT_number 1
_cell_length_a 3.468
_cell_length_b 3.468
_cell_length_c 6.787
_cell_angle_alpha 90.00
_cell_angle_beta 90.00
_cell_angle_gamma 90.00
loop_
_space_group_symop_operation_xyz
'x,y,z'
loop_
_atom_site_label
_atom_site_fract_x
_atom_site_fract_y
_atom_site_fract_z
_atom_site_occupancy
Ba1 0.000 0.000 0.000 1
Li1 0.000 0.000 0.500 1
Co1 0.500 0.500 0.341 1
Co2 0.500 0.500 0.659 1
```

Results
Fermi-level density of states in states/eV/atom: 1.2667
Energy above the lowest structure with this stoichiometry in kJ/mol of formula units: 134
Calculated total energy in eV per atom: -3.909
Calculated formation energy in eV per atom: 0.60
Crystal system: tetragonal

Record 5
Here is a geometry-optimized Ta2GeO structure from Alexandria. Energies are from PBE.

```
data_Ta2GeO
_space_group_name_H-M_alt 'P 1'
_space_group_IT_number 1
_cell_length_a 4.332
_cell_length_b 4.332
_cell_length_c 4.332
_cell_angle_alpha 60.00
_cell_angle_beta 60.00
_cell_angle_gamma 60.00
loop_
_space_group_symop_operation_xyz
'x,y,z'
loop_
_atom_site_label
_atom_site_fract_x
_atom_site_fract_y
_atom_site_fract_z
_atom_site_occupancy
Ta1 0.250 0.250 0.250 1
Ta2 0.750 0.750 0.750 1
Ge1 0.000 0.000 0.000 1
O1 0.500 0.500 0.500 1
```

Results
Formation energy without anion corrections in eV/atom: -0.268
Fermi-level density of states in states/eV/atom: 0.0624
Energy above the lowest structure with this stoichiometry in kJ/mol of formula units: 18
Calculated total energy in eV per atom: -8.588
Crystal system: cubic

Record 6
Here is a geometry-optimized MnAl2Rh structure from Alexandria. Energies are from PBE.

```
data_MnAl2Rh
_space_group_name_H-M_alt 'P 1'
_space_group_IT_number 1
_cell_length_a 4.500
_cell_length_b 4.500
_cell_length_c 4.734
_cell_angle_alpha 100.65
_cell_angle_beta 100.65
_cell_angle_gamma 37.58
loop_
_space_group_symop_operation_xyz
'x,y,z'
loop_
_atom_site_label
_atom_site_fract_x
_atom_site_fract_y
_atom_site_fract_z
_atom_site_occupancy
Mn1 0.000 0.000 0.000 1
Al1 0.245 0.245 0.745 1
Al2 0.755 0.755 0.255 1
Rh1 0.500 0.500 0.500 1
```

Results
Fermi-level density of states in states/eV/atom: 0.7015
Calculated total energy in eV per atom: -6.416
Calculated formation energy in eV per atom: -0.41
Crystal system: monoclinic

Record 7
Here is a geometry-optimized TiPt2RhS structure from Alexandria. Energies are from PBE.

```
data_TiPt2RhS
_space_group_name_H-M_alt 'P 1'
_space_group_IT_number 1
_cell_length_a 4.724
_cell_length_b 4.724
_cell_length_c 4.499
_cell_angle_alpha 90.00
_cell_angle_beta 90.00
_cell_angle_gamma 90.00
loop_
_space_group_symop_operation_xyz
'x,y,z'
loop_
_atom_site_label
_atom_site_fract_x
_atom_site_fract_y
_atom_site_fract_z
_atom_site_occupancy
Ti1 0.000 0.000 0.000 1
Pt1 0.000 0.500 0.000 1
Pt2 0.500 0.000 0.000 1
Rh1 0.000 0.000 0.500 1
S1 0.500 0.500 0.500 1
```

Results
Formation energy without anion corrections in eV/atom: 0.882
Fermi-level density of states in states/eV/atom: 0.6724
Calculated total energy in eV per atom: -5.409
Crystal system: tetragonal

Record 8
Here is a geometry-optimized Co2SbPt structure from Alexandria. Energies are from PBE.

```
data_Co2SbPt
_space_group_name_H-M_alt 'P 1'
_space_group_IT_number 1
_cell_length_a 4.739
_cell_length_b 4.739
_cell_length_c 4.739
_cell_angle_alpha 131.92
_cell_angle_beta 131.92
_cell_angle_gamma 70.36
loop_
_space_group_symop_operation_xyz
'x,y,z'
loop_
_atom_site_label
_atom_site_fract_x
_atom_site_fract_y
_atom_site_fract_z
_atom_site_occupancy
Co1 0.000 0.000 0.000 1
Co2 0.750 0.250 0.500 1
Sb1 0.500 0.500 0.000 1
Pt1 0.250 0.750 0.500 1
```

Results
Formation energy without anion corrections in eV/atom: 0.002
Fermi-level density of states in states/eV/atom: 0.7468
Calculated total energy in eV per atom: -6.092
Crystal system: tetragonal

Record 9
Here is a geometry-optimized AlFeAs2 structure from Alexandria. Energies are from PBE.

```
data_AlFeAs2
_space_group_name_H-M_alt 'P 1'
_space_group_IT_number 1
_cell_length_a 5.469
_cell_length_b 5.469
_cell_length_c 5.469
_cell_angle_alpha 140.41
_cell_angle_beta 140.41
_cell_angle_gamma 57.23
loop_
_space_group_symop_operation_xyz
'x,y,z'
loop_
_atom_site_label
_atom_site_fract_x
_atom_site_fract_y
_atom_site_fract_z
_atom_site_occupancy
Al1 0.000 0.000 0.000 1
Fe1 0.750 0.250 0.500 1
As1 0.250 0.750 0.500 1
As2 0.500 0.500 0.000 1
```

Results
Fermi-level density of states in states/eV/atom: 0.9016
Calculated total energy in eV per atom: -5.104
Calculated formation energy in eV per atom: 0.27
Crystal system: tetragonal

Record 10
Here is a geometry-optimized NdAlAu3 structure from Alexandria. Energies are from PBE.

```
data_NdAlAu3
_space_group_name_H-M_alt 'P 1'
_space_group_IT_number 1
_cell_length_a 6.648
_cell_length_b 6.648
_cell_length_c 5.232
_cell_angle_alpha 90.00
_cell_angle_beta 90.00
_cell_angle_gamma 90.00
loop_
_space_group_symop_operation_xyz
'x,y,z'
loop_
_atom_site_label
_atom_site_fract_x
_atom_site_fract_y
_atom_site_fract_z
_atom_site_occupancy
Nd1 0.000 0.500 0.000 1
Nd2 0.500 0.000 0.000 1
Al1 0.000 0.000 0.500 1
Al2 0.500 0.500 0.500 1
Au1 0.000 0.000 0.000 1
Au2 0.159 0.341 0.500 1
Au3 0.341 0.841 0.500 1
Au4 0.500 0.500 0.000 1
Au5 0.659 0.159 0.500 1
Au6 0.841 0.659 0.500 1
```

Results
Fermi-level density of states in states/eV/atom: 0.4360
Energy above the lowest structure with this stoichiometry in kJ/mol of formula units: 78
Calculated total energy in eV per atom: -4.120
Calculated formation energy in eV per atom: -0.45
Crystal system: tetragonal

Record 11
Here is a geometry-optimized CeGdCdAg structure from Alexandria. Energies are from PBE.

```
data_CeGdCdAg
_space_group_name_H-M_alt 'P 1'
_space_group_IT_number 1
_cell_length_a 5.315
_cell_length_b 5.315
_cell_length_c 5.315
_cell_angle_alpha 60.00
_cell_angle_beta 60.00
_cell_angle_gamma 60.00
loop_
_space_group_symop_operation_xyz
'x,y,z'
loop_
_atom_site_label
_atom_site_fract_x
_atom_site_fract_y
_atom_site_fract_z
_atom_site_occupancy
Ce1 0.000 0.000 0.000 1
Gd1 0.500 0.500 0.500 1
Cd1 0.250 0.250 0.250 1
Ag1 0.750 0.750 0.750 1
```

Results
Fermi-level density of states in states/eV/atom: 2.2153
Calculated total energy in eV per atom: -6.124
Calculated formation energy in eV per atom: -0.18
Crystal system: cubic

Record 12
Here is a geometry-optimized InRe4Ag structure from Alexandria. Energies are from PBE.

```
data_InRe4Ag
_space_group_name_H-M_alt 'P 1'
_space_group_IT_number 1
_cell_length_a 5.275
_cell_length_b 5.275
_cell_length_c 5.275
_cell_angle_alpha 60.00
_cell_angle_beta 60.00
_cell_angle_gamma 60.00
loop_
_space_group_symop_operation_xyz
'x,y,z'
loop_
_atom_site_label
_atom_site_fract_x
_atom_site_fract_y
_atom_site_fract_z
_atom_site_occupancy
In1 0.000 0.000 0.000 1
Re1 0.127 0.624 0.624 1
Re2 0.624 0.127 0.624 1
Re3 0.624 0.624 0.127 1
Re4 0.624 0.624 0.624 1
Ag1 0.250 0.250 0.250 1
```

Results
Fermi-level density of states in states/eV/atom: 0.8988
Calculated total energy in eV per atom: -8.576
Calculated formation energy in eV per atom: 0.65
Crystal system: cubic

What did the eighth record say?
Here is a geometry-optimized Co2SbPt structure from Alexandria. Energies are from PBE.

```
data_Co2SbPt
_space_group_name_H-M_alt 'P 1'
_space_group_IT_number 1
_cell_length_a 4.739
_cell_length_b 4.739
_cell_length_c 4.739
_cell_angle_alpha 131.92
_cell_angle_beta 131.92
_cell_angle_gamma 70.36
loop_
_space_group_symop_operation_xyz
'x,y,z'
loop_
_atom_site_label
_atom_site_fract_x
_atom_site_fract_y
_atom_site_fract_z
_atom_site_occupancy
Co1 0.000 0.000 0.000 1
Co2 0.750 0.250 0.500 1
Sb1 0.500 0.500 0.000 1
Pt1 0.250 0.750 0.500 1
```

Results
Formation energy without anion corrections in eV/atom: 0.002
Fermi-level density of states in states/eV/atom: 0.7468
Calculated total energy in eV per atom: -6.092
Crystal system: tetragonal

Q: calculated total energy of number 6 (MnAl2Rh)?
A: -6.416 eV per atom

Q: Which of these has the lowest calculated total energy?
A: Ta2GeO